The following is a DFT calculation (PBE) of a relaxed structure of Ba4LaMo.

Its size of the total moment is 7.70 μB/cell. Its energy relative to the elements is 1.05 eV per atom. The value obtained for the total DFT energy (no corrections) is -68.60 eV per cell.

The space group is F-43m (No. 216) and the conventional cell measures 10.382, 10.382 and 10.382 Å, with angles of 90.00, 90.00 and 90.00 degrees. The inequivalent atoms are Ba at (0.125, 0.125, 0.125), La at (0.250, 0.250, 0.750) and Mo at (0.000, 0.000, 0.500).